(1)
Crystalline BiTe at its relaxed geometry. Source: Alexandria via LeMat-Bulk, functional PBEsol.

Cell: 4.416 4.416 23.921 Å, 90.00 90.00 120.00°
Atoms (fractional coordinates):
Bi 0.000 0.000 0.125
Bi 0.333 0.667 0.535
Bi 0.667 0.333 0.465
Bi 0.333 0.667 0.292
Bi 0.667 0.333 0.708
Bi 0.000 0.000 0.875
Te 0.667 0.333 0.209
Te 0.000 0.000 0.364
Te 0.667 0.333 0.946
Te 0.000 0.000 0.636
Te 0.333 0.667 0.054
Te 0.333 0.667 0.791

Results
- uncorrected formation energy (eV/atom) = -0.189
- energy relative to the lowest polymorph listed for this composition (meV/atom) = 0
- total magnetization (μB per atom) = 0.000



(2)
Crystalline Sc3GeOs at its relaxed geometry. Source: Alexandria via LeMat-Bulk, functional PBEsol.

Cell: 4.913 4.913 4.913 Å, 90.00 90.00 90.00°
Atoms (fractional coordinates):
Ge 0.500 0.500 0.500
Sc 0.500 0.000 0.000
Sc 0.000 0.500 0.000
Sc 0.000 0.000 0.500
Os 0.000 0.000 0.000

Results
- total energy (eV per atom) = -7.35
- total magnetization (μB per atom) = 0.000



(3)
Crystalline AgRhSeBr2 at its relaxed geometry. Source: Alexandria via LeMat-Bulk, functional PBEsol.

Cell: 4.594 5.143 5.143 Å, 90.00 90.00 90.00°
Atoms (fractional coordinates):
Br 0.000 0.500 0.000
Br 0.000 0.000 0.500
Rh 0.000 0.000 0.000
Ag 0.500 0.500 0.500
Se 0.500 0.000 0.000

Results
- uncorrected formation energy (eV/atom) = 0.216
- total magnetization (μB per atom) = 0.000



(4)
Crystalline Mg2V2CoO8 at its relaxed geometry. Source: Alexandria via LeMat-Bulk, functional PBEsol.

Cell: 5.956 6.457 8.253 Å, 90.00 90.00 117.46°
Atoms (fractional coordinates):
O 0.650 0.770 0.998
O 0.150 0.770 0.502
O 0.499 0.998 0.243
O 0.999 0.998 0.257
O 0.350 0.230 0.002
O 0.880 0.230 0.002
O 0.501 0.002 0.757
O 0.252 0.503 0.728
O 0.620 0.770 0.502
O 0.752 0.503 0.772
O 0.380 0.230 0.498
O 0.001 0.002 0.743
O 0.850 0.230 0.498
O 0.248 0.497 0.228
O 0.748 0.497 0.272
O 0.120 0.770 0.998
V 0.379 0.759 0.621
V 0.621 0.241 0.379
V 0.121 0.241 0.121
V 0.879 0.759 0.879
Mg 0.116 0.732 0.250
Mg 0.384 0.268 0.750
Mg 0.616 0.732 0.250
Mg 0.884 0.268 0.750
Co 0.500 0.000 0.000
Co 0.000 0.000 0.500

Results
- uncorrected formation energy (eV/atom) = -2.257
- total magnetization (μB per atom) = 0.231



(5)
Crystalline LiCd2Ag at its relaxed geometry. Source: Alexandria via LeMat-Bulk, functional PBEsol.

Cell: 4.148 4.148 5.067 Å, 114.16 114.16 90.00°
Atoms (fractional coordinates):
Ag 0.250 0.750 0.500
Cd 0.750 0.250 0.500
Cd 0.000 0.000 0.000
Li 0.500 0.500 0.000

Results
- energy relative to the lowest polymorph listed for this composition (meV/atom) = 23
- total magnetization (μB per atom) = 0.000



(6)
Crystalline YCrGaOs2 at its relaxed geometry. Source: Alexandria via LeMat-Bulk, functional PBEsol.

Cell: 4.787 4.787 5.031 Å, 90.00 90.00 90.00°
Atoms (fractional coordinates):
Cr 0.500 0.500 0.500
Y 0.000 0.000 0.000
Os 0.500 0.000 0.000
Os 0.000 0.500 0.000
Ga 0.000 0.000 0.500

Results
- total energy (eV per atom) = -6.52
- total magnetization (μB per atom) = 0.694



(7)
Crystalline Na3NiPCO7 at its relaxed geometry. Source: Alexandria via LeMat-Bulk, functional PBEsol.

Cell: 5.289 6.454 8.717 Å, 90.00 90.94 90.00°
Atoms (fractional coordinates):
C 0.501 0.263 0.833
C 0.499 0.763 0.167
O 0.894 0.264 0.509
O 0.563 0.762 0.309
O 0.320 0.264 0.935
O 0.437 0.262 0.691
O 0.106 0.764 0.491
O 0.695 0.763 0.643
O 0.735 0.264 0.878
O 0.265 0.764 0.122
O 0.915 0.453 0.254
O 0.912 0.074 0.254
O 0.680 0.764 0.065
O 0.305 0.263 0.357
O 0.085 0.953 0.746
O 0.088 0.574 0.746
Ni 0.944 0.763 0.284
Ni 0.056 0.263 0.716
Na 0.000 0.014 0.000
Na 0.502 0.013 0.499
Na 0.000 0.514 0.000
Na 0.441 0.765 0.840
Na 0.559 0.265 0.160
Na 0.498 0.513 0.501
P 0.984 0.763 0.651
P 0.016 0.263 0.349

Results
- uncorrected formation energy (eV/atom) = -1.769
- energy relative to the lowest polymorph listed for this composition (meV/atom) = 21
- total magnetization (μB per atom) = 0.154



(8)
Crystalline Cr2NiAu at its relaxed geometry. Source: Alexandria via LeMat-Bulk, functional PBEsol.

Cell: 3.764 3.766 4.533 Å, 114.55 114.53 90.00°
Atoms (fractional coordinates):
Ni 0.500 0.500 0.000
Cr 0.750 0.250 0.500
Cr 0.000 0.000 0.000
Au 0.250 0.750 0.500

Results
- energy relative to the lowest polymorph listed for this composition (meV/atom) = 0
- total magnetization (μB per atom) = 0.073



(9)
Crystalline TeAuBr8 at its relaxed geometry. Source: Alexandria via LeMat-Bulk, functional PBEsol.

Cell: 7.866 8.878 10.127 Å, 88.50 71.23 84.10°
Atoms (fractional coordinates):
Br 0.359 0.474 0.204
Br 0.400 0.187 0.955
Br 0.083 0.666 0.539
Br 0.641 0.526 0.796
Br 0.600 0.813 0.045
Br 0.081 0.597 0.933
Br 0.917 0.334 0.461
Br 0.716 0.930 0.635
Br 0.284 0.070 0.365
Br 0.928 0.122 0.835
Br 0.728 0.158 0.246
Br 0.391 0.309 0.607
Br 0.919 0.403 0.067
Br 0.072 0.878 0.165
Br 0.272 0.842 0.754
Br 0.609 0.691 0.393
Au 0.001 0.894 0.688
Au 0.999 0.106 0.312
Te 0.373 0.743 0.273
Te 0.627 0.257 0.727

Results
- uncorrected formation energy (eV/atom) = -0.208
- total magnetization (μB per atom) = 0.000



(10)
Crystalline EuTl2Pt at its relaxed geometry. Source: Alexandria via LeMat-Bulk, functional PBEsol.

Cell: 4.346 5.763 8.205 Å, 90.00 90.00 112.15°
Atoms (fractional coordinates):
Tl 0.641 0.283 0.950
Tl 0.359 0.717 0.450
Tl 0.641 0.283 0.550
Tl 0.359 0.717 0.050
Pt 0.221 0.442 0.750
Pt 0.779 0.558 0.250
Eu 0.068 0.136 0.250
Eu 0.932 0.864 0.750

Results
- total energy (eV per atom) = -6.19
- total magnetization (μB per atom) = 1.751



(11)
Crystalline AsIrSe2 at its relaxed geometry. Source: Alexandria via LeMat-Bulk, functional PBEsol.

Cell: 3.614 4.774 4.774 Å, 116.42 90.00 90.00°
Atoms (fractional coordinates):
Se 0.000 0.209 0.791
Se 0.000 0.791 0.209
As 0.500 0.500 0.500
Ir 0.500 0.000 0.000

Results
- uncorrected formation energy (eV/atom) = -0.047
- total magnetization (μB per atom) = 0.000



(12)
Crystalline LaBePCl2 at its relaxed geometry. Source: Alexandria via LeMat-Bulk, functional PBEsol.

Cell: 4.387 4.387 4.888 Å, 90.00 90.00 90.00°
Atoms (fractional coordinates):
La 0.500 0.500 0.500
Cl 0.500 0.000 0.000
Cl 0.000 0.500 0.000
P 0.000 0.000 0.500
Be 0.000 0.000 0.000

Results
- uncorrected formation energy (eV/atom) = -1.075
- total magnetization (μB per atom) = 0.000



What is the total magnetization in the third record? 0.000 μB per atom



Among the records above, which one has the highest total magnetization? EuTl2Pt



What is the formula in the twelfth record? LaBePCl2